Compound: Dy2Ga3Cu4Pd
Source: Alexandria
Functional: PBE
Structure: relaxed

Structure (CIF):
```
data_Dy2Ga3Cu4Pd
_chemical_formula_sum 'Dy2 Ga3 Cu4 Pd1'
_cell_length_a 3.9703
_cell_length_b 3.9703
_cell_length_c 10.9250
_cell_angle_alpha 90.00
_cell_angle_beta 90.00
_cell_angle_gamma 90.00
_space_group_name_H-M_alt 'P 1'
_space_group_IT_number 1
_space_group_name_Hall 'P 1'
loop_
_atom_site_label
_atom_site_fract_x
_atom_site_fract_y
_atom_site_fract_z
Dy1 0.5000 0.0000 0.2529
Dy2 0.0000 0.5000 0.7471
Ga1 0.0000 0.0000 0.5000
Ga2 0.5000 0.0000 0.8672
Ga3 0.0000 0.5000 0.1328
Cu1 0.5000 0.5000 0.0000
Cu2 0.0000 0.0000 0.0000
Cu3 0.5000 0.0000 0.6479
Cu4 0.0000 0.5000 0.3521
Pd1 0.5000 0.5000 0.5000
```

Summary:
The value obtained for the total moment is 0.0 Bohr magnetons per cell. The value obtained for the theoretical density is 8.63 Mg/m³. The formation energy comes out at -0.424 eV per atom. The value obtained for the density of states at the Fermi level is 6.29 states/eV per cell.

---

Compound: DyGa4CuPd2
Source: Alexandria
Functional: PBE
Structure: relaxed

Structure (CIF):
```
data_DyGa4CuPd2
_chemical_formula_sum 'Dy1 Ga4 Cu1 Pd2'
_cell_length_a 4.2801
_cell_length_b 4.2801
_cell_length_c 8.9192
_cell_angle_alpha 76.12
_cell_angle_beta 76.12
_cell_angle_gamma 60.00
_space_group_name_H-M_alt 'P 1'
_space_group_IT_number 1
_space_group_name_Hall 'P 1'
loop_
_atom_site_label
_atom_site_fract_x
_atom_site_fract_y
_atom_site_fract_z
Dy1 0.0000 0.0000 0.0000
Ga1 0.3975 0.3975 0.8074
Ga2 0.8689 0.8689 0.3932
Ga3 0.1311 0.1311 0.6068
Ga4 0.6025 0.6025 0.1926
Cu1 0.5000 0.5000 0.5000
Pd1 0.7605 0.7605 0.7185
Pd2 0.2395 0.2395 0.2815
```

Summary:
The value obtained for the total moment is 0.0 Bohr magnetons per cell. The value obtained for the theoretical density is 8.77 Mg/m³. The formation energy comes out at -0.522 eV per atom. The value obtained for the density of states at the Fermi level is 2.46 states/eV per cell.

---

Compound: DyGa2Cu2Pd
Source: Alexandria
Functional: PBE
Structure: relaxed

Structure (CIF):
```
data_DyGa2Cu2Pd
_chemical_formula_sum 'Dy1 Ga2 Cu2 Pd1'
_cell_length_a 4.7186
_cell_length_b 4.7186
_cell_length_c 5.3543
_cell_angle_alpha 90.00
_cell_angle_beta 90.00
_cell_angle_gamma 90.00
_space_group_name_H-M_alt 'P 1'
_space_group_IT_number 1
_space_group_name_Hall 'P 1'
loop_
_atom_site_label
_atom_site_fract_x
_atom_site_fract_y
_atom_site_fract_z
Dy1 0.0000 0.0000 0.5000
Ga1 0.5000 0.0000 0.0000
Ga2 0.0000 0.5000 0.0000
Cu1 0.5000 0.5000 0.7313
Cu2 0.5000 0.5000 0.2687
Pd1 0.0000 0.0000 0.0000
```

Summary:
The value obtained for the total moment is 0.0 Bohr magnetons per cell. The value obtained for the theoretical density is 7.46 Mg/m³. The formation energy comes out at -0.077 eV per atom. The value obtained for the density of states at the Fermi level is 3.82 states/eV per cell.